A relaxed Ca2GdI crystal, computed with PBE-GGA.

Output
Formation energy without anion corrections: -422 meV per atom
Space group: No. 123
Energy relative to the lowest polymorph listed for this composition: 0.00 eV per formula unit
Volume: 36.11 Å³/atom

POSCAR file:
```
Ca2GdI
1.0
3.809 0.000 0.000
0.000 3.809 0.000
0.000 0.000 9.954
Ca Gd I
2 1 1
direct
0.000 0.000 0.236
0.000 0.000 0.764
0.500 0.500 0.500
0.500 0.500 0.000
```


A relaxed CaGd2In crystal, computed with PBE-GGA.

Output
Space group: No. 123
Energy relative to the lowest polymorph listed for this composition: 0.00 eV per formula unit
Volume: 29.86 Å³/atom

POSCAR file:
```
CaGd2In
1.0
4.938 0.000 0.000
0.000 4.938 0.000
0.000 0.000 4.899
Ca Gd In
1 2 1
direct
0.000 0.000 0.000
0.000 0.500 0.500
0.500 0.000 0.500
0.500 0.500 0.000
```


A relaxed CaGd2In crystal, computed with PBE-GGA.

Output
Space group: No. 225
Energy relative to the lowest polymorph listed for this composition: 0.32 eV per formula unit
Volume: 29.95 Å³/atom

POSCAR file:
```
CaGd2In
1.0
0.000 3.913 3.913
3.913 0.000 3.913
3.913 3.913 0.000
Ca Gd In
1 2 1
direct
0.000 0.000 0.000
0.250 0.250 0.250
0.750 0.750 0.750
0.500 0.500 0.500
```


A relaxed CaGd2In crystal, computed with PBE-GGA.

Output
Space group: No. 166
Energy relative to the lowest polymorph listed for this composition: 1.68 eV per formula unit
Volume: 34.52 Å³/atom

POSCAR file:
```
CaGd2In
1.0
1.775 1.025 12.645
-1.775 1.025 12.645
0.000 -2.050 12.645
Ca Gd In
1 2 1
direct
0.000 0.000 0.000
0.416 0.416 0.416
0.584 0.584 0.584
0.500 0.500 0.500
```


A relaxed CaGd2In crystal, computed with PBE-GGA.

Output
Space group: No. 123
Energy relative to the lowest polymorph listed for this composition: 0.19 eV per formula unit
Volume: 32.19 Å³/atom

POSCAR file:
```
CaGd2In
1.0
3.626 0.000 0.000
0.000 3.626 0.000
0.000 0.000 9.790
Ca Gd In
1 2 1
direct
0.000 0.000 0.000
0.500 0.500 0.290
0.500 0.500 0.710
0.000 0.000 0.500
```


A relaxed CaGdInIr crystal, computed with PBE-GGA.

Output
Space group: No. 216
Volume: 23.39 Å³/atom

POSCAR file:
```
CaGdInIr
1.0
0.000 3.603 3.603
3.603 0.000 3.603
3.603 3.603 0.000
Ca Gd In Ir
1 1 1 1
direct
0.000 0.000 0.000
0.500 0.500 0.500
0.250 0.250 0.250
0.750 0.750 0.750
```


A relaxed NaCaGdIn crystal, computed with PBE-GGA.

Output
Space group: No. 216
Volume: 29.70 Å³/atom

POSCAR file:
```
NaCaGdIn
1.0
0.000 3.902 3.902
3.902 0.000 3.902
3.902 3.902 0.000
Na Ca Gd In
1 1 1 1
direct
0.000 0.000 0.000
0.750 0.750 0.750
0.250 0.250 0.250
0.500 0.500 0.500
```


A relaxed CaNdGdIn crystal, computed with PBE-GGA.

Output
Space group: No. 216
Volume: 30.72 Å³/atom

POSCAR file:
```
CaNdGdIn
1.0
0.000 3.946 3.946
3.946 0.000 3.946
3.946 3.946 0.000
Ca Nd Gd In
1 1 1 1
direct
0.000 0.000 0.000
0.750 0.750 0.750
0.250 0.250 0.250
0.500 0.500 0.500
```


no.,calculated total energy (Ry per atom)
1,-0.392
2,-0.622
3,-0.616
4,-0.591
5,-0.619
6,-0.538
7,-0.383
8,-0.446